Computed, not measured: crystalline Pu2PdRu at its relaxed geometry at the PBE level of DFT.

Cell and atoms, written as POSCAR:
```
Pu2PdRu
1.0
-1.048 -1.708 2.667
-1.511 -2.199 -2.002
6.119 -4.038 -0.183
Pu Ru Pd
2 1 1
Direct
0.000 0.000 0.238 Pu
0.000 0.000 0.762 Pu
0.500 0.500 0.000 Ru
0.500 0.500 0.500 Pd
```

Formation energy from the elements = -285.4 meV/atom
Total DFT energy (no corrections) = -11.0686 eV/atom
Total moment = 10.09 μB/cell
Density of states at the Fermi level = 3.479 states/eV per atom